KNaGeBr4: relaxed, GGA-PBE.

Lattice parameters (Å, degrees): 8.1815 8.3927 8.3490 90.00 110.32 90.00
Atoms (fractional coordinates):
Br 0.0483 0.5052 0.2573
Br 0.6049 0.7500 0.2550
Br 0.9517 0.4948 0.7427
Br 0.9517 0.0052 0.7427
Br 0.3794 0.7500 0.6147
Br 0.0483 0.9948 0.2573
Br 0.6206 0.2500 0.3853
Br 0.3951 0.2500 0.7450
K 0.7672 0.7500 0.9472
K 0.2328 0.2500 0.0528
Na 0.0404 0.2500 0.5020
Na 0.9596 0.7500 0.4980
Ge 0.2919 0.7500 0.2983
Ge 0.7081 0.2500 0.7017

Summary:
crystal system: monoclinic
formation energy without anion corrections: -1.13 eV/atom

=====

Ho5AlGa2: relaxed, GGA-PBE.

Lattice parameters (Å, degrees): 7.6395 7.6395 8.9098 115.39 115.39 90.00
Atoms (fractional coordinates):
Ho 0.1842 0.0229 0.7071
Ho 0.0000 0.0000 0.0000
Ho 0.5000 0.5000 0.0000
Ho 0.9771 0.4771 0.2929
Ho 0.4771 0.3158 0.2929
Ho 0.5229 0.6842 0.7071
Ho 0.6842 0.1842 0.7071
Ho 0.8158 0.9771 0.2929
Ho 0.0229 0.5229 0.7071
Ho 0.3158 0.8158 0.2929
Al 0.2500 0.2500 0.5000
Al 0.7500 0.7500 0.5000
Ga 0.3775 0.8775 0.0000
Ga 0.6225 0.1225 0.0000
Ga 0.1225 0.3775 0.0000
Ga 0.8775 0.6225 0.0000

Summary:
crystal system: tetragonal
ΔE_f: -434 meV/atom

=====

MgB3I: relaxed, GGA-PBE.

Lattice parameters (Å, degrees): 4.6009 4.6009 4.6009 90.00 90.00 90.00
Atoms (fractional coordinates):
B 0.0000 0.0000 0.5000
B 0.5000 0.0000 0.0000
B 0.0000 0.5000 0.0000
I 0.5000 0.5000 0.5000
Mg 0.0000 0.0000 0.0000

Summary:
crystal system: cubic
polymorph energy (0 for the lowest one): 0 meV/atom
formation energy without anion corrections: 2.19 eV/atom

=====

AlRuPt2: relaxed, GGA-PBE.

Lattice parameters (Å, degrees): 4.7280 4.7280 2.7847 90.00 90.00 109.39
Atoms (fractional coordinates):
Ru 0.5000 0.0000 0.5000
Al 0.0000 0.5000 0.5000
Pt 0.0000 0.0000 0.0000
Pt 0.5000 0.5000 0.0000

Summary:
crystal system: orthorhombic
ΔE_f: -464 meV/atom

=====

Be8CuAs6: relaxed, GGA-PBE.

Lattice parameters (Å, degrees): 6.4455 6.4455 12.6274 90.00 90.00 120.00
Atoms (fractional coordinates):
As 0.6667 0.3333 0.1957
As 0.6491 0.6491 0.4492
As 0.3509 0.0000 0.4492
As 0.6667 0.3333 0.6957
As 0.3333 0.6667 0.6957
As 0.6491 0.0000 0.9492
As 0.0000 0.0000 0.7141
As 0.3509 0.3509 0.9492
As 0.3333 0.6667 0.1957
As 0.0000 0.0000 0.2141
As 0.0000 0.3509 0.4492
As 0.0000 0.6491 0.9492
Cu 0.0000 0.0000 0.0204
Cu 0.0000 0.0000 0.5204
Be 0.0000 0.6679 0.7775
Be 0.6679 0.6679 0.2775
Be 0.6679 0.0000 0.7775
Be 0.3333 0.6667 0.8854
Be 0.6713 0.6713 0.6229
Be 0.0000 0.6713 0.1229
Be 0.6667 0.3333 0.8854
Be 0.3321 0.3321 0.7775
Be 0.0000 0.3287 0.6229
Be 0.3287 0.3287 0.1229
Be 0.6667 0.3333 0.3854
Be 0.3333 0.6667 0.3854
Be 0.3321 0.0000 0.2775
Be 0.0000 0.3321 0.2775
Be 0.6713 0.0000 0.1229
Be 0.3287 0.0000 0.6229

Summary:
crystal system: hexagonal
ΔE_f: -1 meV/atom

=====

NaErAgBi: relaxed, GGA-PBE.

Lattice parameters (Å, degrees): 5.2607 5.2607 5.2607 60.00 60.00 60.00
Atoms (fractional coordinates):
Bi 0.7500 0.7500 0.7500
Ag 0.2500 0.2500 0.2500
Na 0.5000 0.5000 0.5000
Er 0.0000 0.0000 0.0000

Summary:
crystal system: cubic
ΔE_f: -343 meV/atom

=====

CsSnI2O8: relaxed, GGA-PBE.

Lattice parameters (Å, degrees): 5.8661 6.3404 8.0988 59.92 68.77 62.45
Atoms (fractional coordinates):
I 0.7192 0.7216 0.8401
I 0.2808 0.2784 0.1599
O 0.6727 0.5564 0.0982
O 0.6323 0.0422 0.1909
O 0.9067 0.3857 0.8009
O 0.8654 0.9578 0.8091
O 0.3677 0.9578 0.8091
O 0.0933 0.6143 0.1991
O 0.3273 0.4436 0.9018
O 0.1346 0.0422 0.1909
Cs 0.5000 0.5000 0.5000
Sn 0.0000 0.0000 0.0000

Summary:
crystal system: monoclinic
formation energy without anion corrections: -0.68 eV/atom

=====

Ca3Pb: relaxed, GGA-PBE.

Lattice parameters (Å, degrees): 5.1522 5.1522 6.2058 114.53 114.53 90.00
Atoms (fractional coordinates):
Ca 0.7500 0.2500 0.5000
Ca 0.5000 0.5000 0.0000
Ca 0.2500 0.7500 0.5000
Pb 0.0000 0.0000 0.0000

Summary:
crystal system: tetragonal
ΔE_f: -275 meV/atom

=====

Ce2Ni3P: relaxed, GGA-PBE.

Lattice parameters (Å, degrees): 5.5094 5.5094 8.1193 112.20 112.20 83.47
Atoms (fractional coordinates):
Ni 0.1734 0.1734 0.8252
Ni 0.6518 0.6518 0.8252
Ni 0.8289 0.8289 0.6577
Ni 0.1711 0.1711 0.3423
Ni 0.8266 0.8266 0.1748
Ni 0.3482 0.3482 0.1748
Ce 0.2422 0.7578 0.0000
Ce 0.2500 0.7500 0.5000
Ce 0.7578 0.2422 0.0000
Ce 0.7500 0.2500 0.5000
P 0.6668 0.6668 0.3336
P 0.3332 0.3332 0.6664

Summary:
crystal system: orthorhombic
ΔE_f: -708 meV/atom

=====

LiNbAgF6: relaxed, GGA-PBE.

Lattice parameters (Å, degrees): 5.4960 5.4960 10.2510 90.00 90.00 120.00
Atoms (fractional coordinates):
F 0.9937 0.6305 0.3532
F 0.3695 0.3631 0.3532
F 0.9937 0.3631 0.1468
F 0.0063 0.3695 0.6468
F 0.3631 0.9937 0.6468
F 0.0063 0.6369 0.8532
F 0.3631 0.3695 0.8532
F 0.6369 0.0063 0.3532
F 0.3695 0.0063 0.1468
F 0.6305 0.9937 0.8532
F 0.6305 0.6369 0.6468
F 0.6369 0.6305 0.1468
Ag 0.0000 0.0000 0.0000
Ag 0.0000 0.0000 0.5000
Nb 0.6667 0.3333 0.2500
Nb 0.3333 0.6667 0.7500
Li 0.6667 0.3333 0.7500
Li 0.3333 0.6667 0.2500

Summary:
crystal system: trigonal
formation energy without anion corrections: -2.50 eV/atom

=====

Cd2FeSnRu: relaxed, GGA-PBE.

Lattice parameters (Å, degrees): 5.0649 4.3522 5.0649 90.00 90.00 90.00
Atoms (fractional coordinates):
Cd 0.5000 0.0000 0.0000
Cd 0.0000 0.0000 0.5000
Sn 0.5000 0.5000 0.5000
Ru 0.0000 0.5000 0.0000
Fe 0.0000 0.0000 0.0000

Summary:
crystal system: tetragonal
ΔE_f: 769 meV/atom

=====

Cs2CrPI6: relaxed, GGA-PBE.

Lattice parameters (Å, degrees): 8.1203 8.1203 8.4052 61.12 61.12 90.00
Atoms (fractional coordinates):
I 0.2554 0.7446 0.0000
I 0.2236 0.2236 0.5527
I 0.7764 0.7764 0.4473
I 0.7446 0.7446 0.0000
I 0.7446 0.2554 0.0000
I 0.2554 0.2554 0.0000
Cr 0.0000 0.0000 0.0000
Cs 0.2500 0.7500 0.5000
Cs 0.7500 0.2500 0.5000
P 0.5000 0.5000 0.0000

Summary:
crystal system: tetragonal
formation energy without anion corrections: -0.61 eV/atom